Version A
# NaAs3Pd3

A relaxed structure of NaAs3Pd3 (PBE, the Alexandria database).

Cell: 7.8123 7.8123 6.8084 Å, 54.99 54.99 60.00°
Last column: nearest neighbours and their distance in Å.
Sites, in units of the cell vectors:
Pd: 0.0721 0.7992 0.8082  4 As 2.51-2.69
Pd: 0.7992 0.3204 0.8082  4 As 2.51-2.69
Pd: 0.3204 0.0721 0.8082  4 As 2.51-2.69
Pd: 0.6796 0.9279 0.1918  4 As 2.51-2.69
As: 0.4569 0.7640 0.6806  4 Pd 2.51-2.69
As: 0.9015 0.5431 0.3194  4 Pd 2.51-2.69
As: 0.2360 0.9015 0.3194  4 Pd 2.51-2.69
Pd: 0.9279 0.2008 0.1918  4 As 2.51-2.69
As: 0.0985 0.4569 0.6806  4 Pd 2.51-2.69
Na: 0.6613 0.6613 0.0162  6 Pd 3.02-3.16, 6 As 3.03-3.04
As: 0.5431 0.2360 0.3194  4 Pd 2.51-2.69
Pd: 0.2008 0.6796 0.1918  4 As 2.51-2.69
Na: 0.3387 0.3387 0.9838  6 Pd 3.02-3.16, 6 As 3.03-3.04
As: 0.7640 0.0985 0.6806  4 Pd 2.51-2.69

Calculated values
The density of states at the Fermi level is 5.5 states/eV per cell. The magnetic moment is 0.0000 μB per atom. Its space group is R-3.

Version B
# NaAs3Pd3

A relaxed structure of NaAs3Pd3 (PBE, the Alexandria database).

Cell: 6.9234 6.9234 6.9234 Å, 90.00 90.00 90.00°
Last column: nearest neighbours and their distance in Å.
Sites, in units of the cell vectors:
Na: 0.0000 0.0000 0.0000  12 As 3.87, 12 Pd 3.87
Pd: 0.5000 0.2500 0.0000  4 As 2.45
Na: 0.5000 0.5000 0.5000  12 As 3.87, 12 Pd 3.87
Pd: 0.5000 0.7500 0.0000  4 As 2.45
As: 0.2500 0.5000 0.0000  4 Pd 2.45
Pd: 0.7500 0.0000 0.5000  4 As 2.45
As: 0.7500 0.5000 0.0000  4 Pd 2.45
As: 0.5000 0.0000 0.7500  4 Pd 2.45
Pd: 0.2500 0.0000 0.5000  4 As 2.45
Pd: 0.0000 0.5000 0.2500  4 As 2.45
As: 0.5000 0.0000 0.2500  4 Pd 2.45
As: 0.0000 0.2500 0.5000  4 Pd 2.45
As: 0.0000 0.7500 0.5000  4 Pd 2.45
Pd: 0.0000 0.5000 0.7500  4 As 2.45

Calculated values
The density of states at the Fermi level is 10.5 states/eV per cell. The magnetic moment is 0.0000 μB per atom. Its space group is Pm-3n.

Q: What are the energies relative to the best structure? A: version A 0.000; version B 0.063, in eV/atom.

Version A
# NaAs4Pd6

A relaxed structure of NaAs4Pd6 (PBE, the Alexandria database).

Cell: 6.5825 6.5825 6.5825 Å, 92.33 118.66 118.66°
Last column: nearest neighbours and their distance in Å.
Sites, in units of the cell vectors:
As: 0.0000 0.5760 0.1380  6 Pd 2.44-2.72
As: 0.4379 0.8620 0.8620  6 Pd 2.44-2.72
As: 0.0000 0.1380 0.5760  6 Pd 2.44-2.72
Pd: 0.0000 0.7770 0.4740  4 As 2.44-2.53
Pd: 0.3030 0.5260 0.5260  4 As 2.44-2.53
Pd: 0.6970 0.2230 0.2230  4 As 2.44-2.53
Na: 0.0000 0.0000 0.0000  4 As 2.97
Pd: 0.0000 0.4740 0.7770  4 As 2.44-2.53
Pd: 0.5000 0.5000 0.0000  4 As 2.72, 4 Pd 2.80
Pd: 0.5000 0.0000 0.5000  4 As 2.72, 4 Pd 2.80
As: 0.5621 0.4240 0.4240  6 Pd 2.44-2.72

Calculated values
The density of states at the Fermi level is 4.6 states/eV per cell. The magnetic moment is 0.0000 μB per atom. Its space group is I-42m.

Version B
# NaAs4Pd6

A relaxed structure of NaAs4Pd6 (PBE, the Alexandria database).

Cell: 3.8559 7.4968 7.4968 Å, 120.00 90.00 90.00°
Last column: nearest neighbours and their distance in Å.
Sites, in units of the cell vectors:
Na: 0.0000 0.0000 0.0000  6 As 3.07, 6 Pd 3.21
Pd: 0.0000 0.9265 0.4633  5 As 2.64-2.66, 2 Pd 2.92
Pd: 0.5000 0.1980 0.8020  4 As 2.48-2.61
Pd: 0.0000 0.5367 0.4633  5 As 2.64-2.66, 2 Pd 2.92
As: 0.5000 0.8163 0.6326  6 Pd 2.48-2.66
As: 0.0000 0.3333 0.6667  9 Pd 2.61-2.64
Pd: 0.5000 0.1980 0.3960  4 As 2.48-2.61
Pd: 0.0000 0.5367 0.0735  5 As 2.64-2.66, 2 Pd 2.92
As: 0.5000 0.3674 0.1837  6 Pd 2.48-2.66
Pd: 0.5000 0.6040 0.8020  4 As 2.48-2.61
As: 0.5000 0.8163 0.1837  6 Pd 2.48-2.66

Calculated values
The density of states at the Fermi level is 8.4 states/eV per cell. The magnetic moment is 0.0000 μB per atom. Its space group is P-6m2.

Q: What are the energies relative to the best structure? A: version A 0.069; version B 0.000, in eV/atom.

Version A
# Na2AsPd2

A relaxed structure of Na2AsPd2 (PBE, the Alexandria database).

Cell: 6.4449 6.4449 4.8787 Å, 90.00 90.00 90.00°
Last column: nearest neighbours and their distance in Å.
Sites, in units of the cell vectors:
Na: 0.8300 0.3300 0.5000  6 Pd 2.93-3.21, 1 Na 3.10
Pd: 0.3473 0.8473 0.0000  2 As 2.44
As: 0.0000 0.0000 0.0000  4 Pd 2.44
Pd: 0.8473 0.6527 0.0000  2 As 2.44
Na: 0.3300 0.1700 0.5000  6 Pd 2.93-3.21, 1 Na 3.10
Pd: 0.1527 0.3473 0.0000  2 As 2.44
Pd: 0.6527 0.1527 0.0000  2 As 2.44
Na: 0.1700 0.6700 0.5000  6 Pd 2.93-3.21, 1 Na 3.10
As: 0.5000 0.5000 0.0000  4 Pd 2.44
Na: 0.6700 0.8300 0.5000  6 Pd 2.93-3.21, 1 Na 3.10

Calculated values
The density of states at the Fermi level is 5.1 states/eV per cell. The magnetic moment is 0.0000 μB per atom. Its space group is P4/mbm.

Version B
# Na2AsPd2

A relaxed structure of Na2AsPd2 (PBE, the Alexandria database).

Cell: 5.5787 5.5787 7.7128 Å, 80.57 80.57 63.21°
Last column: nearest neighbours and their distance in Å.
Sites, in units of the cell vectors:
Pd: 0.9947 0.2568 0.9988  2 As 2.45-2.47, 1 Pd 2.74
Pd: 0.7432 0.0053 0.5012  2 As 2.45-2.47, 1 Pd 2.74
Na: 0.2324 0.4687 0.6546  6 Pd 3.02-3.22, 2 As 3.27-3.30
As: 0.9008 0.0992 0.7500  4 Pd 2.45-2.47
Na: 0.5313 0.7676 0.8454  6 Pd 3.02-3.22, 2 As 3.27-3.30
Na: 0.4687 0.2324 0.1546  6 Pd 3.02-3.22, 2 As 3.27-3.30
As: 0.0992 0.9008 0.2500  4 Pd 2.45-2.47
Na: 0.7676 0.5313 0.3454  6 Pd 3.02-3.22, 2 As 3.27-3.30
Pd: 0.2568 0.9947 0.4988  2 As 2.45-2.47, 1 Pd 2.74
Pd: 0.0053 0.7432 0.0012  2 As 2.45-2.47, 1 Pd 2.74

Calculated values
The density of states at the Fermi level is 1.7 states/eV per cell. The magnetic moment is 0.0000 μB per atom. Its space group is C2/c.

Q: What are the energies relative to the best structure? A: version A 0.071; version B 0.000, in eV/atom.